(1)
Density functional theory data (PBE-GGA) for a geometry-optimized KLi2Np2S6 structure.

```
data_KLi2Np2S6
_cell_length_a 6.6277
_cell_length_b 6.9543
_cell_length_c 6.9544
_cell_angle_alpha 60.00
_cell_angle_beta 89.81
_cell_angle_gamma 89.84
_symmetry_space_group_name_H-M 'P -1'
_symmetry_Int_Tables_number 2
_symmetry_space_group_name_Hall '-P 1'
loop_
_atom_site_label
_atom_site_type_symbol
_atom_site_fract_x
_atom_site_fract_y
_atom_site_fract_z
K1 K 0.0000 0.0000 0.0000
Li1 Li 0.4998 0.3336 0.3325
Np1 Np 0.0000 0.3334 0.3334
S1 S 0.2381 0.9997 0.5963
S2 S 0.2384 0.4029 0.9994
S3 S 0.2383 0.5965 0.4025
```

Calculated values
Calculated volume in Å³/atom: 25.24
Total moment in μB per cell: 5.00
DOS(E_F) in states/eV/cell: 21.32
Electronic total energy in eV per atom: -6.28

(2)
Density functional theory data (PBE-GGA) for a geometry-optimized NaPrSnPb structure.

```
data_NaPrSnPb
_cell_length_a 7.7758
_cell_length_b 7.7758
_cell_length_c 7.7758
_cell_angle_alpha 90.00
_cell_angle_beta 90.00
_cell_angle_gamma 90.00
_symmetry_space_group_name_H-M 'F -4 3 m'
_symmetry_Int_Tables_number 216
_symmetry_space_group_name_Hall 'F -4 2 3'
loop_
_atom_site_label
_atom_site_type_symbol
_atom_site_fract_x
_atom_site_fract_y
_atom_site_fract_z
Na1 Na 0.0000 0.0000 0.0000
Pr1 Pr 0.0000 0.0000 0.5000
Sn1 Sn 0.2500 0.2500 0.2500
Pb1 Pb 0.2500 0.2500 0.7500
```

Calculated values
Calculated volume in Å³/atom: 29.38
Total moment in μB per cell: 0.00
DOS(E_F) in states/eV/cell: 9.39
Excess energy over the best structure of this formula in the dataset in meV per atom: 124